Record 1
A plane-wave DFT calculation with GGA-PBE was carried out for crystalline Rb2NbRhC at its relaxed geometry.

Values from the calculation:
Formation energy from the elements (kcal/mol of atoms): 34.29
Spin magnetization (μB per formula unit): 0.96
E_tot (eV/atom): -4.23

Unit cell a=6.247 b=4.043 c=6.247 alpha=90.00 beta=90.00 gamma=90.00
Last column: magnetic moment on the atom in μB.
Fractional positions:
1 Nb 0.000 0.500 0.000  1.55
2 Rh 0.500 0.500 0.500  -0.99
3 C 0.000 0.000 0.000  -0.19
4 Rb 0.000 0.000 0.500  0.03
5 Rb 0.500 0.000 0.000  0.03

=====

Record 2
A plane-wave DFT calculation with GGA-PBE was carried out for crystalline RbSc2NbC at its relaxed geometry.

Values from the calculation:
Formation energy from the elements (kcal/mol of atoms): 57.76
Spin magnetization (μB per formula unit): 2.23
E_tot (eV/atom): -4.08

Unit cell a=5.202 b=5.202 c=4.204 alpha=90.00 beta=90.00 gamma=90.00
Last column: magnetic moment on the atom in μB.
Fractional positions:
1 Sc 0.000 0.500 0.000  0.08
2 Sc 0.500 0.000 0.000  0.08
3 Nb 0.500 0.500 0.500  1.54
4 C 0.000 0.000 0.500  -0.03
5 Rb 0.000 0.000 0.000  -0.01

=====

Record 3
A plane-wave DFT calculation with GGA-PBE was carried out for crystalline RbTaNbC2 at its relaxed geometry.

Values from the calculation:
Formation energy from the elements (kcal/mol of atoms): 92.33
Spin magnetization (μB per formula unit): 0.00
E_tot (eV/atom): -4.26

Unit cell a=4.283 b=5.028 c=4.283 alpha=90.00 beta=90.00 gamma=90.00
Fractional positions:
1 Nb 0.000 0.500 0.000
2 C 0.000 0.000 0.500
3 C 0.500 0.000 0.000
4 Rb 0.000 0.000 0.000
5 Ta 0.500 0.500 0.500

=====

Record 4
A plane-wave DFT calculation with GGA-PBE was carried out for crystalline Rb2NbTcC at its relaxed geometry.

Values from the calculation:
Formation energy from the elements (kcal/mol of atoms): 53.06
Spin magnetization (μB per formula unit): 2.98
E_tot (eV/atom): -4.02

Unit cell a=6.822 b=4.537 c=6.822 alpha=90.00 beta=90.00 gamma=90.00
Last column: magnetic moment on the atom in μB.
Fractional positions:
1 C 0.500 0.500 0.500  1.11
2 Nb 0.000 0.500 0.000  0.55
3 Tc 0.000 0.000 0.000  -0.47
4 Rb 0.000 0.000 0.500  0.01
5 Rb 0.500 0.000 0.000  0.01

=====

Record 5
A plane-wave DFT calculation with GGA-PBE was carried out for crystalline Rb2NbTeC at its relaxed geometry.

Values from the calculation:
Spin magnetization (μB per formula unit): 6.74
E_tot (eV/atom): -3.34

Unit cell a=7.105 b=5.308 c=7.105 alpha=90.00 beta=90.00 gamma=90.00
Last column: magnetic moment on the atom in μB.
Fractional positions:
1 Nb 0.000 0.000 0.000  2.69
2 Te 0.000 0.500 0.000  -0.10
3 C 0.500 0.500 0.500  1.13
4 Rb 0.000 0.000 0.500  0.04
5 Rb 0.500 0.000 0.000  0.04

=====

Record 6
A plane-wave DFT calculation with GGA-PBE was carried out for crystalline NbRe2C at its relaxed geometry.

Values from the calculation:
Formation energy from the elements (kcal/mol of atoms): 5.00
Spin magnetization (μB per formula unit): 0.00
E_tot (eV/atom): -10.83

Unit cell a=6.976 b=6.976 c=5.456 alpha=50.26 beta=50.26 gamma=90.00
Fractional positions:
1 Re 0.515 0.125 0.250
2 Re 0.235 0.625 0.250
3 Re 0.375 0.485 0.750
4 Re 0.875 0.765 0.750
5 Nb 0.000 0.000 0.000
6 Nb 0.750 0.250 0.500
7 C 0.500 0.500 0.000
8 C 0.250 0.750 0.500

=====

Record 7
A plane-wave DFT calculation with GGA-PBE was carried out for crystalline NbRe3C at its relaxed geometry.

Values from the calculation:
Formation energy from the elements (kcal/mol of atoms): 1.09
Spin magnetization (μB per formula unit): 0.00
E_tot (eV/atom): -11.28

Unit cell a=4.123 b=4.123 c=4.123 alpha=90.00 beta=90.00 gamma=90.00
Fractional positions:
1 Re 0.000 0.500 0.000
2 Re 0.000 0.000 0.500
3 Re 0.500 0.000 0.000
4 Nb 0.500 0.500 0.500
5 C 0.000 0.000 0.000

=====

Record 8
A plane-wave DFT calculation with GGA-PBE was carried out for crystalline NbReC3 at its relaxed geometry.

Values from the calculation:
Formation energy from the elements (kcal/mol of atoms): 61.75
Spin magnetization (μB per formula unit): 0.00
E_tot (eV/atom): -7.36

Unit cell a=4.051 b=4.051 c=4.051 alpha=90.00 beta=90.00 gamma=90.00
Fractional positions:
1 Re 0.500 0.500 0.500
2 Nb 0.000 0.000 0.000
3 C 0.000 0.500 0.000
4 C 0.000 0.000 0.500
5 C 0.500 0.000 0.000

=====

Record 9
A plane-wave DFT calculation with GGA-PBE was carried out for crystalline NbRe3C at its relaxed geometry.

Values from the calculation:
Formation energy from the elements (kcal/mol of atoms): 86.73
Spin magnetization (μB per formula unit): 0.00
E_tot (eV/atom): -7.57

Unit cell a=4.747 b=4.747 c=4.747 alpha=90.00 beta=90.00 gamma=90.00
Fractional positions:
1 Re 0.000 0.500 0.000
2 Re 0.000 0.000 0.500
3 Re 0.500 0.000 0.000
4 Nb 0.000 0.000 0.000
5 C 0.500 0.500 0.500

=====

Record 10
A plane-wave DFT calculation with GGA-PBE was carried out for crystalline NbReC3 at its relaxed geometry.

Values from the calculation:
Formation energy from the elements (kcal/mol of atoms): 37.97
Spin magnetization (μB per formula unit): 0.00
E_tot (eV/atom): -8.39

Unit cell a=3.953 b=3.953 c=3.953 alpha=90.00 beta=90.00 gamma=90.00
Fractional positions:
1 Re 0.000 0.000 0.000
2 Nb 0.500 0.500 0.500
3 C 0.000 0.500 0.000
4 C 0.000 0.000 0.500
5 C 0.500 0.000 0.000

=====

Record 11
A plane-wave DFT calculation with GGA-PBE was carried out for crystalline SmNb2ReC4 at its relaxed geometry.

Values from the calculation:
Formation energy from the elements (kcal/mol of atoms): -4.20
Spin magnetization (μB per formula unit): 0.00
E_tot (eV/atom): -9.46

Unit cell a=3.289 b=5.983 c=11.238 alpha=90.00 beta=90.00 gamma=105.95
Fractional positions:
1 Sm 0.104 0.208 0.750
2 Sm 0.896 0.792 0.250
3 Nb 0.372 0.743 0.536
4 Nb 0.628 0.257 0.036
5 Nb 0.628 0.257 0.464
6 Nb 0.372 0.743 0.964
7 Re 0.840 0.681 0.750
8 Re 0.160 0.319 0.250
9 C 0.264 0.528 0.114
10 C 0.736 0.472 0.614
11 C 0.736 0.472 0.886
12 C 0.264 0.528 0.386
13 C 0.000 0.000 0.500
14 C 0.000 0.000 0.000
15 C 0.437 0.874 0.750
16 C 0.563 0.126 0.250

=====

Record 12
A plane-wave DFT calculation with GGA-PBE was carried out for crystalline SrNb2ReC at its relaxed geometry.

Values from the calculation:
Formation energy from the elements (kcal/mol of atoms): 49.96
Spin magnetization (μB per formula unit): 0.46
E_tot (eV/atom): -6.53

Unit cell a=4.786 b=6.180 c=4.786 alpha=90.00 beta=90.00 gamma=90.00
Last column: magnetic moment on the atom in μB.
Fractional positions:
1 Re 0.000 0.000 0.000  0.27
2 Nb 0.000 0.000 0.500  -0.36
3 Nb 0.500 0.000 0.000  -0.56
4 C 0.500 0.500 0.500  0.68
5 Sr 0.000 0.500 0.000  0.00

=====

Record 13
A plane-wave DFT calculation with GGA-PBE was carried out for crystalline TbNb2ReC4 at its relaxed geometry.

Values from the calculation:
Formation energy from the elements (kcal/mol of atoms): -4.71
Spin magnetization (μB per formula unit): 0.00
E_tot (eV/atom): -9.47

Unit cell a=3.257 b=5.937 c=11.242 alpha=90.00 beta=90.00 gamma=105.92
Fractional positions:
1 Tb 0.108 0.216 0.750
2 Tb 0.892 0.784 0.250
3 Nb 0.371 0.742 0.535
4 Nb 0.629 0.258 0.035
5 Nb 0.629 0.258 0.465
6 Nb 0.371 0.742 0.965
7 Re 0.844 0.688 0.750
8 Re 0.156 0.312 0.250
9 C 0.264 0.528 0.115
10 C 0.736 0.472 0.615
11 C 0.736 0.472 0.885
12 C 0.264 0.528 0.385
13 C 0.000 0.000 0.500
14 C 0.000 0.000 0.000
15 C 0.444 0.888 0.750
16 C 0.556 0.112 0.250

=====

Record 14
A plane-wave DFT calculation with GGA-PBE was carried out for crystalline NbReTc2C at its relaxed geometry.

Values from the calculation:
Formation energy from the elements (kcal/mol of atoms): -1.22
Spin magnetization (μB per formula unit): 0.00
E_tot (eV/atom): -10.55

Unit cell a=4.109 b=4.109 c=4.105 alpha=90.00 beta=90.00 gamma=90.00
Fractional positions:
1 C 0.000 0.000 0.000
2 Re 0.000 0.000 0.500
3 Nb 0.500 0.500 0.500
4 Tc 0.000 0.500 0.000
5 Tc 0.500 0.000 0.000

=====

Record 15
A plane-wave DFT calculation with GGA-PBE was carried out for crystalline Nb2ReTcC at its relaxed geometry.

Values from the calculation:
Formation energy from the elements (kcal/mol of atoms): 0.59
Spin magnetization (μB per formula unit): 0.00
E_tot (eV/atom): -10.41

Unit cell a=4.308 b=3.998 c=4.308 alpha=90.00 beta=90.00 gamma=90.00
Fractional positions:
1 C 0.000 0.000 0.000
2 Re 0.500 0.500 0.500
3 Nb 0.000 0.000 0.500
4 Nb 0.500 0.000 0.000
5 Tc 0.000 0.500 0.000

=====

Record 16
A plane-wave DFT calculation with GGA-PBE was carried out for crystalline TiNbReC2 at its relaxed geometry.

Values from the calculation:
Formation energy from the elements (kcal/mol of atoms): 50.50
Spin magnetization (μB per formula unit): 0.00
E_tot (eV/atom): -7.58

Unit cell a=3.931 b=5.033 c=3.931 alpha=90.00 beta=90.00 gamma=90.00
Fractional positions:
1 Re 0.500 0.500 0.500
2 Nb 0.000 0.500 0.000
3 C 0.000 0.000 0.500
4 C 0.500 0.000 0.000
5 Ti 0.000 0.000 0.000

=====

Record 17
A plane-wave DFT calculation with GGA-PBE was carried out for crystalline TmNb2ReC4 at its relaxed geometry.

Values from the calculation:
Formation energy from the elements (kcal/mol of atoms): -4.87
Spin magnetization (μB per formula unit): 0.00
E_tot (eV/atom): -9.46

Unit cell a=3.221 b=5.890 c=11.247 alpha=90.00 beta=90.00 gamma=105.87
Fractional positions:
1 Tm 0.114 0.229 0.750
2 Tm 0.886 0.771 0.250
3 Nb 0.370 0.740 0.534
4 Nb 0.630 0.260 0.034
5 Nb 0.630 0.260 0.466
6 Nb 0.370 0.740 0.966
7 Re 0.849 0.699 0.750
8 Re 0.151 0.301 0.250
9 C 0.263 0.527 0.117
10 C 0.737 0.473 0.617
11 C 0.737 0.473 0.883
12 C 0.263 0.527 0.383
13 C 0.000 0.000 0.500
14 C 0.000 0.000 0.000
15 C 0.453 0.906 0.750
16 C 0.547 0.094 0.250

=====

Record 18
A plane-wave DFT calculation with GGA-PBE was carried out for crystalline NbVReC2 at its relaxed geometry.

Values from the calculation:
Formation energy from the elements (kcal/mol of atoms): 52.64
Spin magnetization (μB per formula unit): 0.01
E_tot (eV/atom): -7.73

Unit cell a=4.029 b=5.111 c=4.029 alpha=90.00 beta=90.00 gamma=90.00
Last column: magnetic moment on the atom in μB.
Fractional positions:
1 Re 0.000 0.500 0.000  -0.05
2 Nb 0.000 0.000 0.000  0.00
3 C 0.000 0.000 0.500  0.00
4 C 0.500 0.000 0.000  0.00
5 V 0.500 0.500 0.500  0.04

=====

Record 19
A plane-wave DFT calculation with GGA-PBE was carried out for crystalline NbRhC2 at its relaxed geometry.

Values from the calculation:
Formation energy from the elements (kcal/mol of atoms): 20.24
Spin magnetization (μB per formula unit): 0.00
E_tot (eV/atom): -8.09

Unit cell a=3.900 b=3.900 c=3.900 alpha=60.00 beta=60.00 gamma=60.00
Fractional positions:
1 Nb 0.000 0.000 0.000
2 Rh 0.500 0.500 0.500
3 C 0.250 0.250 0.250
4 C 0.750 0.750 0.750

=====

Record 20
A plane-wave DFT calculation with GGA-PBE was carried out for crystalline Nb3RhC at its relaxed geometry.

Values from the calculation:
Formation energy from the elements (kcal/mol of atoms): -5.12
Spin magnetization (μB per formula unit): 0.00
E_tot (eV/atom): -9.58

Unit cell a=4.275 b=4.275 c=4.275 alpha=90.00 beta=90.00 gamma=90.00
Fractional positions:
1 Nb 0.000 0.500 0.000
2 Nb 0.000 0.000 0.500
3 Nb 0.500 0.000 0.000
4 Rh 0.500 0.500 0.500
5 C 0.000 0.000 0.000

=====

Record 21
A plane-wave DFT calculation with GGA-PBE was carried out for crystalline NbRhC at its relaxed geometry.

Values from the calculation:
Formation energy from the elements (kcal/mol of atoms): 0.28
Spin magnetization (μB per formula unit): 0.00
E_tot (eV/atom): -8.87

Unit cell a=3.148 b=3.148 c=9.443 alpha=80.40 beta=80.40 gamma=60.00
Fractional positions:
1 Nb 0.621 0.621 0.136
2 Nb 0.379 0.379 0.864
3 C 0.241 0.241 0.278
4 C 0.759 0.759 0.722
5 Rh 0.874 0.874 0.379
6 Rh 0.126 0.126 0.621

=====

Record 22
A plane-wave DFT calculation with GGA-PBE was carried out for crystalline Nb2RhC at its relaxed geometry.

Values from the calculation:
Formation energy from the elements (kcal/mol of atoms): -9.81
Spin magnetization (μB per formula unit): 0.00
E_tot (eV/atom): -9.60

Unit cell a=3.098 b=3.103 c=7.093 alpha=89.99 beta=102.75 gamma=120.06
Fractional positions:
1 Nb 0.480 0.981 0.234
2 Nb 0.567 0.525 0.869
3 Rh 0.023 0.753 0.552
4 C 0.023 0.253 0.052

=====

Record 23
A plane-wave DFT calculation with GGA-PBE was carried out for crystalline NbRh2C at its relaxed geometry.

Values from the calculation:
Formation energy from the elements (kcal/mol of atoms): 9.05
Spin magnetization (μB per formula unit): 0.00
E_tot (eV/atom): -8.11

Unit cell a=5.477 b=5.477 c=5.804 alpha=61.85 beta=61.85 gamma=90.00
Fractional positions:
1 Nb 0.000 0.000 0.000
2 Nb 0.750 0.250 0.500
3 Rh 0.530 0.125 0.250
4 Rh 0.220 0.625 0.250
5 Rh 0.375 0.470 0.750
6 Rh 0.875 0.780 0.750
7 C 0.500 0.500 0.000
8 C 0.250 0.750 0.500

=====

Record 24
A plane-wave DFT calculation with GGA-PBE was carried out for crystalline NbRhC2 at its relaxed geometry.

Values from the calculation:
Formation energy from the elements (kcal/mol of atoms): 9.87
Spin magnetization (μB per formula unit): 0.00
E_tot (eV/atom): -8.54

Unit cell a=4.666 b=4.666 c=5.881 alpha=66.63 beta=66.63 gamma=90.00
Fractional positions:
1 Nb 0.500 0.500 0.000
2 Nb 0.250 0.750 0.500
3 Rh 0.000 0.000 0.000
4 Rh 0.750 0.250 0.500
5 C 0.643 0.125 0.250
6 C 0.107 0.625 0.250
7 C 0.375 0.357 0.750
8 C 0.875 0.893 0.750

=====

Record 25
A plane-wave DFT calculation with GGA-PBE was carried out for crystalline Nb3RhC at its relaxed geometry.

Values from the calculation:
Formation energy from the elements (kcal/mol of atoms): 51.32
Spin magnetization (μB per formula unit): 0.00
E_tot (eV/atom): -7.13

Unit cell a=4.786 b=4.786 c=4.786 alpha=90.00 beta=90.00 gamma=90.00
Fractional positions:
1 Nb 0.000 0.500 0.000
2 Nb 0.000 0.000 0.500
3 Nb 0.500 0.000 0.000
4 Rh 0.000 0.000 0.000
5 C 0.500 0.500 0.500

=====

Record 26
A plane-wave DFT calculation with GGA-PBE was carried out for crystalline Nb7Rh2C2 at its relaxed geometry.

Values from the calculation:
Formation energy from the elements (kcal/mol of atoms): -3.51
Spin magnetization (μB per formula unit): 0.00
E_tot (eV/atom): -9.57

Unit cell a=2.983 b=8.420 c=8.420 alpha=54.38 beta=79.80 gamma=79.80
Fractional positions:
1 Nb 0.818 0.090 0.274
2 Nb 0.840 0.420 0.899
3 Nb 0.500 0.025 0.975
4 Nb 0.640 0.452 0.267
5 Nb 0.360 0.733 0.548
6 Nb 0.182 0.726 0.910
7 Nb 0.160 0.101 0.580
8 Rh 0.000 0.720 0.280
9 Rh 0.500 0.359 0.641
10 C 0.747 0.867 0.638
11 C 0.253 0.362 0.133